No. 1
A geometry-optimized Sc2Al3In2 structure, computed with PBE-GGA.

a = 7.373 Å, b = 7.373 Å, c = 7.373 Å
α = 109.47°, β = 109.47°, γ = 109.47°
Sites, in units of the cell vectors:
1 Sc 0.000 0.484 0.500
2 Sc 0.016 0.016 0.016
3 Sc 0.484 0.500 0.000
4 Sc 0.500 0.000 0.484
5 Al 0.006 0.256 0.750
6 Al 0.244 0.250 0.494
7 Al 0.250 0.494 0.244
8 Al 0.256 0.750 0.006
9 Al 0.494 0.244 0.250
10 Al 0.750 0.006 0.256
11 In 0.000 0.867 0.500
12 In 0.500 0.000 0.867
13 In 0.633 0.633 0.633
14 In 0.867 0.500 0.000

Values from the calculation:
formation enthalpy at 0 K	-0.105	eV/atom
crystal system	cubic
symmetry	I2_13
total energy	-4.30	eV per atom
Fermi-level density of states	0.72	states/eV/atom

=====

No. 2
A geometry-optimized Sc6Al3In structure, computed with PBE-GGA.

a = 8.615 Å, b = 4.843 Å, c = 10.549 Å
α = 90.00°, β = 106.63°, γ = 90.00°
Sites, in units of the cell vectors:
1 Sc 0.048 0.250 0.417
2 Sc 0.152 0.750 0.180
3 Sc 0.235 0.250 0.996
4 Sc 0.324 0.750 0.787
5 Sc 0.364 0.250 0.322
6 Sc 0.404 0.250 0.612
7 Sc 0.596 0.750 0.388
8 Sc 0.636 0.750 0.678
9 Sc 0.676 0.250 0.213
10 Sc 0.765 0.750 0.004
11 Sc 0.848 0.250 0.820
12 Sc 0.952 0.750 0.583
13 Al 0.032 0.750 0.879
14 Al 0.117 0.250 0.708
15 Al 0.274 0.750 0.475
16 Al 0.726 0.250 0.525
17 Al 0.883 0.750 0.292
18 Al 0.968 0.250 0.121
19 In 0.453 0.750 0.101
20 In 0.547 0.250 0.899

Values from the calculation:
formation enthalpy at 0 K	-0.363	eV/atom
crystal system	monoclinic
symmetry	P2_1/m
total energy	-5.56	eV per atom
Fermi-level density of states	1.01	states/eV/atom

=====

No. 3
A geometry-optimized Sc2Al2In structure, computed with PBE-GGA.

a = 8.127 Å, b = 8.127 Å, c = 3.333 Å
α = 90.00°, β = 90.00°, γ = 90.00°
Sites, in units of the cell vectors:
1 Sc 0.177 0.323 0.000
2 Sc 0.323 0.823 0.000
3 Sc 0.677 0.177 0.000
4 Sc 0.823 0.677 0.000
5 Al 0.118 0.618 0.500
6 Al 0.382 0.118 0.500
7 Al 0.618 0.882 0.500
8 Al 0.882 0.382 0.500
9 In 0.000 0.000 0.000
10 In 0.500 0.500 0.000

Values from the calculation:
formation enthalpy at 0 K	-0.154	eV/atom
crystal system	tetragonal
symmetry	P4/mbm
total energy	-4.73	eV per atom
energy above the lowest structure with this stoichiometry	0.307	eV/atom
Fermi-level density of states	0.48	states/eV/atom

=====

No. 4
A geometry-optimized Sc6AlIn5 structure, computed with PBE-GGA.

a = 7.104 Å, b = 7.104 Å, c = 8.693 Å
α = 90.00°, β = 90.00°, γ = 143.09°
Sites, in units of the cell vectors:
1 Sc 0.000 0.000 0.245
2 Sc 0.000 0.000 0.755
3 Sc 0.335 0.665 0.245
4 Sc 0.335 0.665 0.755
5 Sc 0.665 0.335 0.245
6 Sc 0.665 0.335 0.755
7 Al 0.500 0.500 0.000
8 In 0.163 0.837 0.000
9 In 0.167 0.833 0.500
10 In 0.500 0.500 0.500
11 In 0.833 0.167 0.500
12 In 0.837 0.163 0.000

Values from the calculation:
formation enthalpy at 0 K	-0.430	eV/atom
crystal system	orthorhombic
symmetry	Cmmm
total energy	-5.05	eV per atom
Fermi-level density of states	0.64	states/eV/atom

=====

What did the second record say?
A geometry-optimized Sc6Al3In structure, computed with PBE-GGA.

a = 8.615 Å, b = 4.843 Å, c = 10.549 Å
α = 90.00°, β = 106.63°, γ = 90.00°
Sites, in units of the cell vectors:
1 Sc 0.048 0.250 0.417
2 Sc 0.152 0.750 0.180
3 Sc 0.235 0.250 0.996
4 Sc 0.324 0.750 0.787
5 Sc 0.364 0.250 0.322
6 Sc 0.404 0.250 0.612
7 Sc 0.596 0.750 0.388
8 Sc 0.636 0.750 0.678
9 Sc 0.676 0.250 0.213
10 Sc 0.765 0.750 0.004
11 Sc 0.848 0.250 0.820
12 Sc 0.952 0.750 0.583
13 Al 0.032 0.750 0.879
14 Al 0.117 0.250 0.708
15 Al 0.274 0.750 0.475
16 Al 0.726 0.250 0.525
17 Al 0.883 0.750 0.292
18 Al 0.968 0.250 0.121
19 In 0.453 0.750 0.101
20 In 0.547 0.250 0.899

Values from the calculation:
formation enthalpy at 0 K	-0.363	eV/atom
crystal system	monoclinic
symmetry	P2_1/m
total energy	-5.56	eV per atom
Fermi-level density of states	1.01	states/eV/atom

=====

Q: Among the records above, which one has the highest formation enthalpy at 0 K?
A: Sc2Al3In2

=====

Q: total energy of number 1 (Sc2Al3In2)?
A: -4.30 eV per atom

=====

Q: Which formula does entry 3 have?
A: Sc2Al2In